TmGeAu: optimized geometry, PBE.

Cell: 4.229 4.238 6.983 Å, 90.00 90.00 90.00°
Space group Pmmn (No. 59, origin choice 2)
Unique sites:
Tm (0.250, 0.250, 0.182) x2
Ge (0.250, 0.250, 0.767) x2
Au (0.250, 0.750, 0.499) x2

Results
For the formation energy, the calculation gives -0.688 eV per atom. For the electronic total energy, the calculation gives -4.810 eV/atom.

Tm4Ge3Au: optimized geometry, PBE.

Cell: 4.038 4.148 10.760 Å, 90.00 90.00 90.00°
Space group Pmm2 (No. 25)
Unique sites:
Tm (0.000, 0.000, 0.000) x1
Tm (0.000, 0.500, 0.496) x1
Tm (0.500, 0.000, 0.721) x1
Tm (0.500, 0.500, 0.223) x1
Ge (0.000, 0.000, 0.270) x1
Ge (0.500, 0.000, 0.445) x1
Ge (0.500, 0.500, 0.949) x1
Au (0.000, 0.500, 0.774) x1

Results
For the formation energy, the calculation gives -0.838 eV per atom. For the electronic total energy, the calculation gives -5.215 eV/atom.

TmGe2Au: optimized geometry, PBE.

Cell: 4.374 4.374 4.100 Å, 90.00 90.00 90.00°
Space group P4/mmm (No. 123)
Unique sites:
Tm (0.000, 0.000, 0.000) x1
Ge (0.000, 0.500, 0.500) x2
Au (0.500, 0.500, 0.000) x1

Results
The value obtained for the energy above the lowest structure with this stoichiometry is 0 meV/atom. For the formation energy, the calculation gives -0.483 eV per atom. For the electronic total energy, the calculation gives -4.729 eV/atom.

TmGe2Au: optimized geometry, PBE.

Cell: 3.3242 3.3242 26.4030 Å, 90.00 90.00 120.00°
Space group R-3m (No. 166, hexagonal axes)
Unique sites:
Tm (0.0000, 0.0000, 0.0000) x3
Ge (0.0000, 0.0000, 0.2412) x6
Au (0.0000, 0.0000, 0.5000) x3

Results
The value obtained for the energy above the lowest structure with this stoichiometry is 477 meV/atom. For the formation energy, the calculation gives -0.006 eV per atom. For the electronic total energy, the calculation gives -4.252 eV/atom.

TmGeAu: optimized geometry, PBE.

Cell: 3.496 3.496 10.350 Å, 90.00 90.00 90.00°
Space group I4mm (No. 107)
Unique sites:
Tm (0.000, 0.000, 0.000) x2
Ge (0.000, 0.000, 0.683) x2
Au (0.000, 0.000, 0.337) x2

Results
For the formation energy, the calculation gives -0.487 eV per atom. For the electronic total energy, the calculation gives -4.609 eV/atom.

TmGeAu: optimized geometry, PBE.

Cell: 4.431 14.078 7.801 Å, 90.00 90.00 90.00°
Space group Pmmn (No. 59, origin choice 2)
Unique sites:
Tm (0.250, 0.002, 0.218) x4
Tm (0.250, 0.250, 0.292) x2
Tm (0.250, 0.750, 0.289) x2
Ge (0.250, 0.147, 0.907) x4
Ge (0.250, 0.614, 0.593) x4
Au (0.250, 0.098, 0.584) x4
Au (0.250, 0.640, 0.923) x4

Results
For the formation energy, the calculation gives -0.748 eV per atom. For the electronic total energy, the calculation gives -4.870 eV/atom.

TmGeAu: optimized geometry, PBE.

Cell: 4.4548 4.4548 7.1995 Å, 90.00 90.00 120.00°
Space group P6_3mc (No. 186)
Unique sites:
Tm (0.0000, 0.0000, 0.0000) x2
Ge (0.3333, 0.6667, 0.2065) x2
Au (0.3333, 0.6667, 0.7962) x2

Results
For the formation energy, the calculation gives -0.804 eV per atom. For the electronic total energy, the calculation gives -4.926 eV/atom.

YTmGeAu: optimized geometry, PBE.

Cell: 7.145 7.145 7.145 Å, 90.00 90.00 90.00°
Space group F-43m (No. 216)
Unique sites:
Y (0.000, 0.000, 0.000) x4
Tm (0.000, 0.000, 0.500) x4
Ge (0.250, 0.250, 0.750) x4
Au (0.250, 0.250, 0.250) x4

Results
The value obtained for the energy above the lowest structure with this stoichiometry is 116 meV/atom. For the formation energy, the calculation gives -0.753 eV per atom. For the electronic total energy, the calculation gives -5.460 eV/atom.

> Number 2 is which compound?

Tm4Ge3Au

> Number 3 is which compound?

TmGe2Au

What did the fourth record say?
TmGe2Au: optimized geometry, PBE.

Cell: 3.3242 3.3242 26.4030 Å, 90.00 90.00 120.00°
Space group R-3m (No. 166, hexagonal axes)
Unique sites:
Tm (0.0000, 0.0000, 0.0000) x3
Ge (0.0000, 0.0000, 0.2412) x6
Au (0.0000, 0.0000, 0.5000) x3

Results
The value obtained for the energy above the lowest structure with this stoichiometry is 477 meV/atom. For the formation energy, the calculation gives -0.006 eV per atom. For the electronic total energy, the calculation gives -4.252 eV/atom.